The following is a PBE calculation of a geometry-optimized La8In3 structure, from Alexandria via LeMat-Bulk.

- Energy of formation from the pure elements: -5 meV per atom
- E_tot: -4.335 eV/atom
- DOS at the Fermi energy: 1.4561 states/eV per atom
- Polymorph energy (0 for the lowest one): 0.297 eV per atom

a b c (Å): 7.485 7.485 7.485
angles (deg): 86.46 86.46 86.46
Fractional positions:
La (0.107, 0.107, 0.107)
La (0.187, 0.340, 0.633)
La (0.340, 0.633, 0.187)
La (0.367, 0.813, 0.660)
La (0.633, 0.187, 0.340)
La (0.660, 0.367, 0.813)
La (0.813, 0.660, 0.367)
La (0.893, 0.893, 0.893)
In (0.000, 0.000, 0.500)
In (0.000, 0.500, 0.000)
In (0.500, 0.000, 0.000)